Run 1
# Li2YSb2, optimized geometry, DFT PBE-GGA
data_Li2YSb2
_chemical_formula_sum 'Li4 Y2 Sb4'
_cell_length_a 8.415
_cell_length_b 8.415
_cell_length_c 3.362
_cell_angle_alpha 90.00
_cell_angle_beta 90.00
_cell_angle_gamma 90.00
_space_group_name_H-M_alt 'P 1'
_space_group_IT_number 1
_space_group_name_Hall 'P 1'
loop_
_atom_site_label
_atom_site_fract_x
_atom_site_fract_y
_atom_site_fract_z
Li1 0.125 0.375 0.000
Li2 0.375 0.875 0.000
Li3 0.625 0.125 0.000
Li4 0.875 0.625 0.000
Y1 0.000 0.000 0.500
Y2 0.500 0.500 0.500
Sb1 0.172 0.672 0.500
Sb2 0.328 0.172 0.500
Sb3 0.672 0.828 0.500
Sb4 0.828 0.328 0.500
# D(E_F)   3.8 states/eV per cell
# Mass density   4.83 Mg/m³
# Total moment   0.000 μB per formula unit
# Calculated volume   23.81 Å³/atom

=====

Run 2
# Li2YSb2, optimized geometry, DFT PBE-GGA
data_Li2YSb2
_chemical_formula_sum 'Li2 Y1 Sb2'
_cell_length_a 7.251
_cell_length_b 7.251
_cell_length_c 7.251
_cell_angle_alpha 146.53
_cell_angle_beta 146.53
_cell_angle_gamma 48.06
_space_group_name_H-M_alt 'P 1'
_space_group_IT_number 1
_space_group_name_Hall 'P 1'
loop_
_atom_site_label
_atom_site_fract_x
_atom_site_fract_y
_atom_site_fract_z
Li1 0.250 0.750 0.500
Li2 0.750 0.250 0.500
Y1 0.000 0.000 0.000
Sb1 0.386 0.386 0.000
Sb2 0.614 0.614 0.000
# D(E_F)   2.4 states/eV per cell
# Mass density   4.98 Mg/m³
# Total moment   0.000 μB per formula unit
# Calculated volume   23.09 Å³/atom

=====

Short version: run 2 is the most stable of them.

=====

Run 1
# LiYSb3, optimized geometry, DFT PBE-GGA
data_LiYSb3
_chemical_formula_sum 'Li4 Y4 Sb12'
_cell_length_a 13.477
_cell_length_b 6.029
_cell_length_c 6.286
_cell_angle_alpha 90.00
_cell_angle_beta 90.00
_cell_angle_gamma 90.00
_space_group_name_H-M_alt 'P 1'
_space_group_IT_number 1
_space_group_name_Hall 'P 1'
loop_
_atom_site_label
_atom_site_fract_x
_atom_site_fract_y
_atom_site_fract_z
Li1 0.108 0.250 0.000
Li2 0.108 0.250 0.500
Li3 0.892 0.750 0.000
Li4 0.892 0.750 0.500
Y1 0.318 0.511 0.250
Y2 0.318 0.989 0.750
Y3 0.682 0.011 0.250
Y4 0.682 0.489 0.750
Sb1 0.083 0.708 0.250
Sb2 0.083 0.792 0.750
Sb3 0.254 0.002 0.250
Sb4 0.254 0.498 0.750
Sb5 0.496 0.250 0.000
Sb6 0.496 0.250 0.500
Sb7 0.504 0.750 0.000
Sb8 0.504 0.750 0.500
Sb9 0.746 0.502 0.250
Sb10 0.746 0.998 0.750
Sb11 0.917 0.208 0.250
Sb12 0.917 0.292 0.750
# D(E_F)   6.8 states/eV per cell
# Mass density   6.00 Mg/m³
# Total moment   0.000 μB per formula unit
# Calculated volume   25.54 Å³/atom

=====

Run 2
# LiYSb3, optimized geometry, DFT PBE-GGA
data_LiYSb3
_chemical_formula_sum 'Li1 Y1 Sb3'
_cell_length_a 5.801
_cell_length_b 5.801
_cell_length_c 5.801
_cell_angle_alpha 90.00
_cell_angle_beta 90.00
_cell_angle_gamma 90.00
_space_group_name_H-M_alt 'P 1'
_space_group_IT_number 1
_space_group_name_Hall 'P 1'
loop_
_atom_site_label
_atom_site_fract_x
_atom_site_fract_y
_atom_site_fract_z
Li1 0.000 0.000 0.000
Y1 0.500 0.500 0.500
Sb1 0.000 0.500 0.500
Sb2 0.500 0.000 0.500
Sb3 0.500 0.500 0.000
# D(E_F)   4.0 states/eV per cell
# Mass density   3.92 Mg/m³
# Total moment   0.000 μB per formula unit
# Calculated volume   39.04 Å³/atom

=====

Short version: run 1 is the most stable of them.

=====

Run 1
# Li2Zn2Sb, optimized geometry, DFT PBE-GGA
data_Li2Zn2Sb
_chemical_formula_sum 'Li4 Zn4 Sb2'
_cell_length_a 7.412
_cell_length_b 7.412
_cell_length_c 3.296
_cell_angle_alpha 90.00
_cell_angle_beta 90.00
_cell_angle_gamma 90.00
_space_group_name_H-M_alt 'P 1'
_space_group_IT_number 1
_space_group_name_Hall 'P 1'
loop_
_atom_site_label
_atom_site_fract_x
_atom_site_fract_y
_atom_site_fract_z
Li1 0.152 0.348 0.000
Li2 0.348 0.848 0.000
Li3 0.652 0.152 0.000
Li4 0.848 0.652 0.000
Zn1 0.139 0.639 0.500
Zn2 0.361 0.139 0.500
Zn3 0.639 0.861 0.500
Zn4 0.861 0.361 0.500
Sb1 0.000 0.000 0.000
Sb2 0.500 0.500 0.000
# D(E_F)   2.2 states/eV per cell
# Mass density   4.89 Mg/m³
# Total moment   0.000 μB per formula unit
# Calculated volume   18.11 Å³/atom

=====

Run 2
# Li2Zn2Sb, optimized geometry, DFT PBE-GGA
data_Li2Zn2Sb
_chemical_formula_sum 'Li2 Zn2 Sb1'
_cell_length_a 6.906
_cell_length_b 6.906
_cell_length_c 6.906
_cell_angle_alpha 147.35
_cell_angle_beta 147.35
_cell_angle_gamma 46.85
_space_group_name_H-M_alt 'P 1'
_space_group_IT_number 1
_space_group_name_Hall 'P 1'
loop_
_atom_site_label
_atom_site_fract_x
_atom_site_fract_y
_atom_site_fract_z
Li1 0.250 0.750 0.500
Li2 0.750 0.250 0.500
Zn1 0.102 0.102 0.000
Zn2 0.898 0.898 0.000
Sb1 0.500 0.500 0.000
# D(E_F)   1.7 states/eV per cell
# Mass density   4.63 Mg/m³
# Total moment   0.000 μB per formula unit
# Calculated volume   19.11 Å³/atom

=====

Short version: run 1 is the most stable of them.